DFT (PBE) results for CsK2TbBr6 after structural relaxation.

a = 8.7174 Å, b = 8.7174 Å, c = 8.7174 Å
α = 56.62°, β = 56.62°, γ = 56.62°
Sites, in units of the cell vectors:
Cs: 0.0000 0.0000 0.0000
K: 0.2015 0.2015 0.2015
K: 0.7171 0.7171 0.7171
Tb: 0.5160 0.5160 0.5160
Br: 0.1674 0.4266 0.7461
Br: 0.3414 0.8752 0.5765
Br: 0.4266 0.7461 0.1674
Br: 0.5765 0.3414 0.8752
Br: 0.7461 0.1674 0.4266
Br: 0.8752 0.5765 0.3414

Values from the calculation:
Uncorrected energy (eV per cell): -36.019
DOS(E_F) (states/eV per cell): 0.00
SG: R3